DFT (GGA+U) results for a relaxed FeCoPO4F crystal.

Computed properties:
VASP energy: -6.547 eV/atom
mass density: 4.13 g cm⁻³
density of states at the Fermi level: 0.0000 states/eV per atom
magnetization: 3.00 μB per formula unit

Structure (extended XYZ):
```
32
Lattice="7.350 0.083 0.033 4.519 5.798 0.033 4.311 2.136 8.733" Properties=species:S:1:pos:R:3 pbc="T T T"
O 2.305 0.547 0.442
P 9.513 5.436 7.229
F 13.171 7.460 6.737
O 7.386 3.280 4.316
O 13.419 5.146 8.712
O 10.068 6.491 4.345
O 3.987 2.571 4.809
O 8.239 6.173 6.695
Fe 12.287 6.876 8.636
P 4.257 1.396 3.816
O 7.111 4.126 1.916
O 9.746 4.226 6.283
O 9.428 3.600 2.857
Fe 10.759 4.543 4.269
O 11.688 3.337 8.192
F 11.759 4.892 2.370
P 7.932 3.208 2.862
O 7.580 6.210 3.825
F 9.903 5.495 0.532
Fe 3.379 3.370 1.226
P 5.845 3.609 8.183
Co 10.515 2.417 6.749
Co 7.021 4.958 5.491
Co 6.137 5.834 2.383
O 9.239 4.958 8.682
O 7.747 1.747 2.329
O 10.731 6.388 7.223
F 12.526 5.618 4.899
Fe 6.884 1.715 5.593
O 4.504 1.954 2.391
O 6.439 3.468 6.757
Co 6.042 1.515 1.124
```